(1)
Computed, not measured: a relaxed structure of NdGaNO at the PBE level of DFT.

abc: 5.003 5.003 4.765
angles: 90.00 90.00 90.00
Positions (direct):
Nd1 0.250 0.750 0.000
Nd2 0.750 0.250 0.000
Ga1 0.250 0.250 0.485
Ga2 0.750 0.750 0.515
N1 0.250 0.250 0.071
N2 0.750 0.750 0.929
O1 0.250 0.750 0.500
O2 0.750 0.250 0.500

Summary:
**Raw total energy**: -6.50 eV/atom



(2)
Computed, not measured: a relaxed structure of LiNbSO at the PBE level of DFT.

abc: 6.452 5.787 5.910
angles: 90.00 100.65 90.00
Positions (direct):
Li1 0.083 0.247 0.458
Li2 0.083 0.253 0.958
Li3 0.917 0.747 0.042
Li4 0.917 0.753 0.542
Nb1 0.455 0.537 0.713
Nb2 0.455 0.963 0.213
Nb3 0.545 0.037 0.787
Nb4 0.545 0.463 0.287
S1 0.204 0.648 0.345
S2 0.204 0.852 0.845
S3 0.796 0.148 0.155
S4 0.796 0.352 0.655
O1 0.377 0.208 0.485
O2 0.377 0.292 0.985
O3 0.623 0.708 0.015
O4 0.623 0.792 0.515

Summary:
**Raw total energy**: -6.70 eV/atom



(3)
Computed, not measured: a relaxed structure of Tm2Th at the PBE level of DFT.

abc: 10.035 10.035 10.035
angles: 60.00 60.00 60.00
Positions (direct):
Tm1 0.000 0.000 0.000
Tm2 0.000 0.000 0.500
Tm3 0.000 0.500 0.000
Tm4 0.500 0.000 0.000
Th1 0.125 0.125 0.125
Th2 0.875 0.875 0.875

Summary:
**Formation energy from the elements**: 2.66 eV/atom
**Raw total energy**: -2.80 eV/atom



(4)
Computed, not measured: a relaxed structure of Au at the PBE level of DFT.

abc: 4.737 4.737 2.807
angles: 90.00 90.00 120.00
Positions (direct):
Au1 0.000 0.000 0.000
Au2 0.333 0.667 0.500
Au3 0.667 0.333 0.500

Summary:
**Formation energy from the elements**: 0.06 eV/atom
**Raw total energy**: -3.20 eV/atom



> What is the raw total energy in the fourth record?

-3.20 eV/atom



> Which formula does entry 2 have?

LiNbSO